An optimized crystal structure of PmPr3Er, computed with PBE-GGA.

Computed properties:
density of states at the Fermi level	16.81	states/eV per cell
energy relative to the elements	0.180	eV per atom

Lattice parameters (Å, degrees): 9.4852 9.4852 6.1351 108.58 108.58 42.68
Closest atoms and distances in Å follow each position.
Element x y z (fractional)
Pm (0.0000, 0.0000, 0.0000)  2 Pm 3.07
Pm (0.0000, 0.0000, 0.5000)  2 Pm 3.07
Pr (0.1156, 0.5798, 0.5983)  2 Pr 3.21-3.25, 2 Pm 3.48-3.49
Pr (0.2255, 0.2255, 0.9741)  6 Pr 3.55-3.78, 1 Er 3.71
Pr (0.4202, 0.8844, 0.4017)  2 Pr 3.21-3.25, 2 Pm 3.48-3.49
Pr (0.5798, 0.1156, 0.5983)  2 Pr 3.21-3.25, 2 Pm 3.48-3.49
Pr (0.7745, 0.7745, 0.0259)  6 Pr 3.55-3.78, 1 Er 3.71
Pr (0.8844, 0.4202, 0.4017)  2 Pr 3.21-3.25, 2 Pm 3.48-3.49
Er (0.4489, 0.4489, 0.1996)  2 Er 3.50-3.51, 7 Pr 3.71-3.85, 4 Pm 3.87
Er (0.5511, 0.5511, 0.8004)  2 Er 3.50-3.51, 7 Pr 3.71-3.85, 4 Pm 3.87